[1]
Below is a relaxed In2ReRu2 crystal, with properties calculated at the PBE-GGA level.

```
In2ReRu2
1.0
-1.718 1.718 7.995
1.718 -1.718 7.995
1.718 1.718 -7.995
In Re Ru
2 1 2
Direct
0.100 0.100 0.000 In
0.900 0.900 0.000 In
0.500 0.500 0.000 Re
0.250 0.750 0.500 Ru
0.750 0.250 0.500 Ru
```

ΔE to the lowest computed polymorph	271	meV per atom
E	-6.34	eV per atom
energy of formation	0.951	eV/atom
density of states at the Fermi level	6.89	states/eV per cell

=====

[2]
Below is a relaxed InRe2Ru crystal, with properties calculated at the PBE-GGA level.

```
InRe2Ru
1.0
4.609 -1.444 0.000
4.609 1.444 0.000
-1.004 0.000 4.854
In Re Ru
1 2 1
Direct
0.000 0.000 0.000 In
0.234 0.234 0.675 Re
0.491 0.491 0.506 Re
0.759 0.759 0.233 Ru
```

E	-8.86	eV per atom
energy of formation	0.363	eV/atom
density of states at the Fermi level	3.03	states/eV per cell

=====

[3]
Below is a relaxed In2ReRu crystal, with properties calculated at the PBE-GGA level.

```
In2ReRu
1.0
2.954 0.000 0.000
0.000 2.954 0.000
0.000 0.000 8.602
In Re Ru
2 1 1
Direct
0.000 0.000 0.000 In
0.500 0.500 0.336 In
0.000 0.000 0.582 Re
0.500 0.500 0.762 Ru
```

ΔE to the lowest computed polymorph	75	meV per atom
E	-6.61	eV per atom
energy of formation	0.194	eV/atom
density of states at the Fermi level	4.55	states/eV per cell

=====

[4]
Below is a relaxed In2ReRu crystal, with properties calculated at the PBE-GGA level.

```
In2ReRu
1.0
0.000 3.273 3.273
3.273 0.000 3.273
3.273 3.273 0.000
In Re Ru
2 1 1
Direct
0.000 0.000 0.000 In
0.250 0.250 0.250 In
0.500 0.500 0.500 Re
0.750 0.750 0.750 Ru
```

ΔE to the lowest computed polymorph	541	meV per atom
E	-6.14	eV per atom
energy of formation	0.660	eV/atom
density of states at the Fermi level	5.87	states/eV per cell

=====

[5]
Below is a relaxed InReRu crystal, with properties calculated at the PBE-GGA level.

```
InReRu
1.0
0.000 2.445 6.978
1.468 0.000 6.978
1.468 2.445 0.000
In Re Ru
1 1 1
Direct
0.000 0.000 0.000 In
0.679 0.679 0.321 Re
0.329 0.329 0.671 Ru
```

E	-7.65	eV per atom
energy of formation	0.508	eV/atom
density of states at the Fermi level	3.21	states/eV per cell

=====

[6]
Below is a relaxed In2ReRu crystal, with properties calculated at the PBE-GGA level.

```
In2ReRu
1.0
2.936 0.000 0.000
0.000 4.515 0.000
-0.399 0.000 5.330
In Re Ru
2 1 1
Direct
0.234 0.000 0.254 In
0.766 0.000 0.746 In
0.500 0.500 0.000 Re
0.000 0.500 0.500 Ru
```

ΔE to the lowest computed polymorph	455	meV per atom
E	-6.23	eV per atom
energy of formation	0.574	eV/atom
density of states at the Fermi level	3.81	states/eV per cell

=====

Q: Which value of energy of formation does entry 1 give?
A: 0.951 eV/atom